InCoRu2 after structural relaxation, computed with GGA-PBE.

Lattice parameters (Å, degrees): 4.7003 4.7003 4.7856 101.95 101.95 34.97
Element x y z (fractional)
In (0.0000, 0.0000, 0.0000)
Co (0.5000, 0.5000, 0.5000)
Ru (0.2344, 0.2344, 0.7154)
Ru (0.7656, 0.7656, 0.2846)

Formation energy = 97 kJ/mol of formula units